{"formula": "Y2ScCl", "functional": "GGA-PBE", "state": "optimized geometry", "space_group": "Cmmm (65)", "e_tot_ev_per_atom": -5.81, "e_form_raw_mev_per_atom": -533, "e_above_lowest_polymorph_mev_per_atom": 98.0, "lattice_angstrom": [[-0.320, 3.328, 0.823], [-1.439, -2.057, 2.358], [8.390, -0.377, 4.790]], "species": ["Cl", "Sc", "Y", "Y"], "fractional_positions": [[0.500, 0.500, 0.250], [0.500, 0.500, 0.750], [0.000, 0.000, 0.015], [0.000, 0.000, 0.485]]}



{"formula": "YScCl2", "functional": "GGA-PBE", "state": "optimized geometry", "space_group": "R3m (160)", "e_tot_ev_per_atom": -5.56, "e_form_raw_mev_per_atom": -1438, "e_above_lowest_polymorph_mev_per_atom": 0.0, "lattice_angstrom": [[9.976, 0.041, 0.025], [9.295, 3.622, 0.025], [9.295, 1.767, 3.162]], "species": ["Y", "Sc", "Cl", "Cl"], "fractional_positions": [[0.748, 0.748, 0.748], [0.506, 0.506, 0.506], [0.020, 0.020, 0.020], [0.226, 0.226, 0.226]]}



{"formula": "YScCl2", "functional": "GGA-PBE", "state": "optimized geometry", "space_group": "Fm-3m (225)", "e_tot_ev_per_atom": -4.97, "e_form_raw_mev_per_atom": -844, "e_above_lowest_polymorph_mev_per_atom": 593.2, "lattice_angstrom": [[0.000, 3.388, 3.388], [3.388, 0.000, 3.388], [3.388, 3.388, 0.000]], "species": ["Y", "Sc", "Cl", "Cl"], "fractional_positions": [[0.500, 0.500, 0.500], [0.000, 0.000, 0.000], [0.250, 0.250, 0.250], [0.750, 0.750, 0.750]]}



{"formula": "YScCl2", "functional": "GGA-PBE", "state": "optimized geometry", "space_group": "Cm (8)", "e_tot_ev_per_atom": -5.21, "e_form_raw_mev_per_atom": -1084, "e_above_lowest_polymorph_mev_per_atom": 354.0, "lattice_angstrom": [[4.721, -0.485, 0.106], [3.776, 2.875, 0.106], [1.222, 0.344, 6.221]], "species": ["Y", "Sc", "Cl", "Cl"], "fractional_positions": [[0.206, 0.206, 0.267], [0.500, 0.500, 0.658], [0.998, 0.998, 0.989], [0.796, 0.796, 0.586]]}